5
Lattice="4.6963 0.0000 0.0000 0.0000 3.4116 0.0000 0.0000 0.0000 4.6963" Properties=species:S:1:pos:R:3 comment="MnBeMo2O GGA+U relaxed" vol_a3_per_cell=75.2 m_tot_mub_per_fu=1.3 total_energy_ry_per_atom=-0.31236 pbc="T T T"
Be 2.3481 1.7058 2.3481
Mo 0.0000 0.0000 2.3481
Mo 2.3481 0.0000 0.0000
Mn 0.0000 0.0000 0.0000
O 0.0000 1.7058 0.0000